Entry 1:
Material: PmPrAgHg
Method: DFT, PBE
State: optimized geometry

Cell and atoms, written as CIF:
```
data_PmPrAgHg
_chemical_formula_sum 'Pm4 Pr4 Ag4 Hg4'
_space_group_name_H-M_alt 'F -4 3 m'
_space_group_IT_number 216
_space_group_name_Hall 'F -4 2 3'
_cell_length_a 7.5966
_cell_length_b 7.5966
_cell_length_c 7.5966
_cell_angle_alpha 90.00
_cell_angle_beta 90.00
_cell_angle_gamma 90.00
loop_
_atom_site_label
_atom_site_type_symbol
_atom_site_fract_x
_atom_site_fract_y
_atom_site_fract_z
Pm1 Pm 0.0000 0.0000 0.0000
Pr1 Pr 0.0000 0.0000 0.5000
Ag1 Ag 0.2500 0.2500 0.2500
Hg1 Hg 0.2500 0.2500 0.7500
```

Output
formation energy	-8.45	kcal/mol of atoms
magnetization	0.0312	μB/atom



Entry 2:
Material: PmPrAgHg
Method: DFT, PBE
State: optimized geometry

Cell and atoms, written as CIF:
```
data_PmPrAgHg
_chemical_formula_sum 'Pm1 Pr1 Ag1 Hg1'
_space_group_name_H-M_alt 'P 4 m m'
_space_group_IT_number 99
_space_group_name_Hall 'P 4 -2'
_cell_length_a 3.7960
_cell_length_b 3.7960
_cell_length_c 7.6018
_cell_angle_alpha 90.00
_cell_angle_beta 90.00
_cell_angle_gamma 90.00
loop_
_atom_site_label
_atom_site_type_symbol
_atom_site_fract_x
_atom_site_fract_y
_atom_site_fract_z
Pm1 Pm 0.0000 0.0000 0.0000
Pr1 Pr 0.0000 0.0000 0.5104
Ag1 Ag 0.5000 0.5000 0.7652
Hg1 Hg 0.5000 0.5000 0.2483
```

Output
formation energy	-8.44	kcal/mol of atoms
magnetization	0.0891	μB/atom



Entry 3:
Material: Pm2PrAg2Hg2
Method: DFT, PBE
State: optimized geometry

Cell and atoms, written as CIF:
```
data_Pm2PrAg2Hg2
_chemical_formula_sum 'Pm6 Pr3 Ag6 Hg6'
_space_group_name_H-M_alt 'R -3 m'
_space_group_IT_number 166
_space_group_name_Hall '-R 3 2"'
_cell_length_a 4.9242
_cell_length_b 4.9242
_cell_length_c 26.9749
_cell_angle_alpha 90.00
_cell_angle_beta 90.00
_cell_angle_gamma 120.00
loop_
_atom_site_label
_atom_site_type_symbol
_atom_site_fract_x
_atom_site_fract_y
_atom_site_fract_z
Pm1 Pm 0.0000 0.0000 0.1245
Pr1 Pr 0.0000 0.0000 0.0000
Ag1 Ag 0.0000 0.0000 0.4008
Hg1 Hg 0.0000 0.0000 0.2592
```

Output
formation energy	-5.94	kcal/mol of atoms
magnetization	0.0000	μB/atom



Entry 4:
Material: Pm4Ag2HgPt
Method: DFT, PBE
State: optimized geometry

Cell and atoms, written as CIF:
```
data_Pm4Ag2HgPt
_chemical_formula_sum 'Pm12 Ag6 Hg3 Pt3'
_space_group_name_H-M_alt 'R -3 m'
_space_group_IT_number 166
_space_group_name_Hall '-R 3 2"'
_cell_length_a 5.2502
_cell_length_b 5.2502
_cell_length_c 25.5918
_cell_angle_alpha 90.00
_cell_angle_beta 90.00
_cell_angle_gamma 120.00
loop_
_atom_site_label
_atom_site_type_symbol
_atom_site_fract_x
_atom_site_fract_y
_atom_site_fract_z
Pm1 Pm 0.0000 0.0000 0.1179
Pm2 Pm 0.0000 0.0000 0.3693
Ag1 Ag 0.0000 0.0000 0.2424
Hg1 Hg 0.0000 0.0000 0.5000
Pt1 Pt 0.0000 0.0000 0.0000
```

Output
formation energy	-12.53	kcal/mol of atoms
magnetization	0.0000	μB/atom



Entry 5:
Material: PmPuAgHg
Method: DFT, PBE
State: optimized geometry

Cell and atoms, written as CIF:
```
data_PmPuAgHg
_chemical_formula_sum 'Pm4 Pu4 Ag4 Hg4'
_space_group_name_H-M_alt 'F -4 3 m'
_space_group_IT_number 216
_space_group_name_Hall 'F -4 2 3'
_cell_length_a 7.5077
_cell_length_b 7.5077
_cell_length_c 7.5077
_cell_angle_alpha 90.00
_cell_angle_beta 90.00
_cell_angle_gamma 90.00
loop_
_atom_site_label
_atom_site_type_symbol
_atom_site_fract_x
_atom_site_fract_y
_atom_site_fract_z
Pm1 Pm 0.0000 0.0000 0.0000
Pu1 Pu 0.0000 0.0000 0.5000
Ag1 Ag 0.2500 0.2500 0.2500
Hg1 Hg 0.2500 0.2500 0.7500
```

Output
formation energy	-3.45	kcal/mol of atoms
magnetization	1.5225	μB/atom



Entry 6:
Material: PmAgHgRh
Method: DFT, PBE
State: optimized geometry

Cell and atoms, written as CIF:
```
data_PmAgHgRh
_chemical_formula_sum 'Pm4 Ag4 Hg4 Rh4'
_space_group_name_H-M_alt 'F -4 3 m'
_space_group_IT_number 216
_space_group_name_Hall 'F -4 2 3'
_cell_length_a 6.9348
_cell_length_b 6.9348
_cell_length_c 6.9348
_cell_angle_alpha 90.00
_cell_angle_beta 90.00
_cell_angle_gamma 90.00
loop_
_atom_site_label
_atom_site_type_symbol
_atom_site_fract_x
_atom_site_fract_y
_atom_site_fract_z
Pm1 Pm 0.0000 0.0000 0.0000
Ag1 Ag 0.2500 0.2500 0.7500
Hg1 Hg 0.0000 0.0000 0.5000
Rh1 Rh 0.2500 0.2500 0.2500
```

Output
formation energy	-6.63	kcal/mol of atoms
magnetization	0.0000	μB/atom



Q: Which formula does entry 6 have?
A: PmAgHgRh